The following is a PBE with a Hubbard U calculation of a geometry-optimized Sr4NiRh3O12 structure, from the Alexandria database.

Summary:
Total magnetization, μB per formula unit: 8.3
Total energy, eV/atom: -6.0987
Density, g/cm³: 5.9

a = 6.911 Å, b = 6.911 Å, c = 6.911 Å
α = 109.47°, β = 109.47°, γ = 109.47°
Fractional positions:
Sr 0.000 0.000 0.500
Sr 0.000 0.500 0.000
Sr 0.500 0.000 0.000
Sr 0.500 0.500 0.500
Ni 0.000 0.000 0.000
Rh 0.000 0.500 0.500
Rh 0.500 0.000 0.500
Rh 0.500 0.500 0.000
O 0.000 0.255 0.255
O 0.000 0.745 0.745
O 0.250 0.500 0.750
O 0.250 0.750 0.500
O 0.255 0.000 0.255
O 0.255 0.255 0.000
O 0.500 0.250 0.750
O 0.500 0.750 0.250
O 0.745 0.000 0.745
O 0.745 0.745 0.000
O 0.750 0.250 0.500
O 0.750 0.500 0.250